1.
! PBE CaSmMgAu, relaxed; values from VASP
&SYSTEM
  ibrav = 0, nat = 4, ntyp = 4
/
ATOMIC_SPECIES
Ca 40.08 Ca.upf
Sm 150.36 Sm.upf
Mg 24.30 Mg.upf
Au 196.97 Au.upf
CELL_PARAMETERS angstrom
0.000 3.735 3.735
3.735 0.000 3.735
3.735 3.735 0.000
ATOMIC_POSITIONS angstrom
Ca 0.000 0.000 0.000
Sm 3.735 3.735 3.735
Mg 5.603 5.603 5.603
Au 1.868 1.868 1.868
! Uncorrected energy   -3.294 eV per atom
! Fermi-level density of states   3.116 states/eV/f.u.
! V   104 Å³ per cell
! Crystal system   cubic

=====

2.
! PBE CaMg2SnAu4, relaxed; values from VASP
&SYSTEM
  ibrav = 0, nat = 8, ntyp = 4
/
ATOMIC_SPECIES
Ca 40.08 Ca.upf
Mg 24.30 Mg.upf
Sn 118.71 Sn.upf
Au 196.97 Au.upf
CELL_PARAMETERS angstrom
2.416 1.395 8.138
-2.416 1.395 8.138
0.000 -2.789 8.138
ATOMIC_POSITIONS angstrom
Ca 0.000 0.000 0.000
Mg 0.000 0.000 6.110
Mg 0.000 0.000 18.304
Sn 0.000 0.000 12.207
Au 0.000 0.000 3.000
Au 0.000 0.000 9.211
Au 0.000 0.000 15.203
Au 0.000 0.000 21.413
! Uncorrected energy   -3.287 eV per atom
! Fermi-level density of states   3.557 states/eV/f.u.
! V   164 Å³ per cell
! Crystal system   trigonal

=====

3.
! PBE SrCa2MgAu, relaxed; values from VASP
&SYSTEM
  ibrav = 0, nat = 5, ntyp = 4
/
ATOMIC_SPECIES
Sr 87.62 Sr.upf
Ca 40.08 Ca.upf
Mg 24.30 Mg.upf
Au 196.97 Au.upf
CELL_PARAMETERS angstrom
5.783 0.000 0.000
0.000 5.783 0.000
0.000 0.000 5.364
ATOMIC_POSITIONS angstrom
Sr 0.000 0.000 0.000
Ca 0.000 2.892 2.682
Ca 2.892 0.000 2.682
Mg 2.892 2.892 0.000
Au 2.892 2.892 2.682
! Uncorrected energy   -2.398 eV per atom
! Fermi-level density of states   5.661 states/eV/f.u.
! V   179 Å³ per cell
! Crystal system   tetragonal